Compound: Si3Ru4
Source: Alexandria
Functional: meta-GGA SCAN
Structure: PBEsol geometry

```
Si3Ru4
1.0
5.147 0.000 0.000
0.000 4.007 0.000
0.000 0.000 17.068
Si Ru
12 16
Direct
0.004 0.250 0.104 Si
0.129 0.750 0.311 Si
0.153 0.250 0.534 Si
0.347 0.750 0.034 Si
0.371 0.250 0.811 Si
0.496 0.750 0.604 Si
0.504 0.250 0.396 Si
0.629 0.750 0.189 Si
0.653 0.250 0.966 Si
0.847 0.750 0.466 Si
0.871 0.250 0.689 Si
0.996 0.750 0.896 Si
0.009 0.250 0.393 Ru
0.153 0.750 0.764 Ru
0.159 0.750 0.165 Ru
0.173 0.250 0.970 Ru
0.327 0.750 0.470 Ru
0.341 0.250 0.665 Ru
0.347 0.250 0.264 Ru
0.491 0.750 0.893 Ru
0.509 0.250 0.107 Ru
0.653 0.750 0.736 Ru
0.659 0.750 0.335 Ru
0.673 0.250 0.530 Ru
0.827 0.750 0.030 Ru
0.841 0.250 0.835 Ru
0.847 0.250 0.236 Ru
0.991 0.750 0.607 Ru
```

Properties
- calculated total energy (Ha/atom) = -0.913
- raw formation energy (eV per atom) = -0.6404
- D(E_F) (states/eV per cell) = 10.1
- space group = No. 62